1.
{
  "formula": "AlFeSbH6",
  "functional": "PBE-GGA",
  "state": "relaxed",
  "cell": [[-3.552, -1.116, 2.920], [-2.047, 3.360, 2.628], [-4.406, 1.417, -0.984]],
  "species": ["H", "H", "H", "H", "H", "Fe", "Sb", "H", "Al"],
  "frac_coords": [[0.261, 0.739, 0.261], [0.739, 0.261, 0.739], [0.261, 0.739, 0.739], [0.261, 0.261, 0.739], [0.739, 0.261, 0.261], [0.750, 0.750, 0.750], [0.250, 0.250, 0.250], [0.739, 0.739, 0.261], [0.000, 0.000, 0.000]],
  "vol_a3_per_atom": 8.323
}

---

2.
{
  "formula": "AlFeH6W",
  "functional": "PBE-GGA",
  "state": "relaxed",
  "cell": [[0.000, 3.053, 3.053], [3.053, 0.000, 3.053], [3.053, 3.053, 0.000]],
  "species": ["H", "H", "H", "W", "Al", "H", "Fe", "H", "H"],
  "frac_coords": [[0.022, 0.478, 0.478], [0.478, 0.478, 0.022], [0.022, 0.022, 0.478], [0.500, 0.500, 0.500], [0.000, 0.000, 0.000], [0.478, 0.022, 0.022], [0.750, 0.750, 0.750], [0.022, 0.478, 0.022], [0.478, 0.022, 0.478]],
  "vol_a3_per_atom": 6.322
}

---

3.
{
  "formula": "HfAlFe2",
  "functional": "PBE-GGA",
  "state": "relaxed",
  "cell": [[0.000, 3.034, 3.034], [3.034, 0.000, 3.034], [3.034, 3.034, 0.000]],
  "species": ["Fe", "Hf", "Fe", "Al"],
  "frac_coords": [[0.000, 0.000, 0.000], [0.250, 0.250, 0.250], [0.750, 0.750, 0.750], [0.500, 0.500, 0.500]],
  "vol_a3_per_atom": 13.967
}

---

4.
{
  "formula": "Hf2AlFe3",
  "functional": "PBE-GGA",
  "state": "relaxed",
  "cell": [[-1.092, -3.799, 3.058], [2.540, -0.841, -4.222], [6.919, 1.174, 3.928]],
  "species": ["Fe", "Fe", "Fe", "Hf", "Al", "Fe", "Al", "Fe", "Fe", "Hf", "Hf", "Hf"],
  "frac_coords": [[0.654, 0.827, 0.750], [0.173, 0.346, 0.750], [0.827, 0.173, 0.250], [0.333, 0.667, 0.065], [0.000, 0.000, 0.500], [0.346, 0.173, 0.250], [0.000, 0.000, 0.000], [0.173, 0.827, 0.750], [0.827, 0.654, 0.250], [0.333, 0.667, 0.435], [0.667, 0.333, 0.565], [0.667, 0.333, 0.935]],
  "vol_a3_per_atom": 14.499
}

---

In eV per atom, the final energy values for the records above are, in order, -3.420, -4.715, -7.643, -8.523.
In μB/f.u., the total moment values for the records above are, in order, 2.616, 1.138, 4.508, 3.465.